The following is a GGA-PBE calculation of an optimized crystal structure of La2SiHg2, from Alexandria via LeMat-Bulk.

a b c (Å): 9.2750 9.2750 9.2750
angles (deg): 154.85 154.85 35.86
Positions (direct):
La (0.0862, 0.0862, 0.0000)
La (0.9138, 0.9138, 0.0000)
Si (0.5000, 0.5000, 0.0000)
Hg (0.2500, 0.7500, 0.5000)
Hg (0.7500, 0.2500, 0.5000)

Space group: I4/mmm, No. 139
Formation energy (no corrections), meV per atom: -284

The following is a GGA-PBE calculation of an optimized crystal structure of LaSmSiHg, from Alexandria via LeMat-Bulk.

a b c (Å): 5.3003 5.3003 5.3003
angles (deg): 60.00 60.00 60.00
Positions (direct):
La (0.0000, 0.0000, 0.0000)
Sm (0.5000, 0.5000, 0.5000)
Si (0.2500, 0.2500, 0.2500)
Hg (0.7500, 0.7500, 0.7500)

Space group: F-43m, No. 216
Formation energy (no corrections), meV per atom: -482

The following is a GGA-PBE calculation of an optimized crystal structure of LaTa2SiHg, from Alexandria via LeMat-Bulk.

a b c (Å): 4.7832 4.7832 5.4911
angles (deg): 90.00 90.00 90.00
Positions (direct):
La (0.0000, 0.0000, 0.0000)
Ta (0.0000, 0.5000, 0.5000)
Ta (0.5000, 0.0000, 0.5000)
Si (0.0000, 0.0000, 0.5000)
Hg (0.5000, 0.5000, 0.0000)

Space group: P4/mmm, No. 123
Formation energy (no corrections), meV per atom: 598

The following is a GGA-PBE calculation of an optimized crystal structure of LaTbSiHg, from Alexandria via LeMat-Bulk.

a b c (Å): 5.2589 5.2589 5.2589
angles (deg): 60.00 60.00 60.00
Positions (direct):
La (0.0000, 0.0000, 0.0000)
Tb (0.5000, 0.5000, 0.5000)
Si (0.7500, 0.7500, 0.7500)
Hg (0.2500, 0.2500, 0.2500)

Space group: F-43m, No. 216
Formation energy (no corrections), meV per atom: -478

The following is a GGA-PBE calculation of an optimized crystal structure of La2TlSiHg, from Alexandria via LeMat-Bulk.

a b c (Å): 5.7370 5.7370 4.9145
angles (deg): 90.00 90.00 90.00
Positions (direct):
La (0.0000, 0.5000, 0.0000)
La (0.5000, 0.0000, 0.0000)
Tl (0.0000, 0.0000, 0.5000)
Si (0.5000, 0.5000, 0.0000)
Hg (0.5000, 0.5000, 0.5000)

Space group: P4/mmm, No. 123
Formation energy (no corrections), meV per atom: -176

The following is a GGA-PBE calculation of an optimized crystal structure of LaTmSiHg, from Alexandria via LeMat-Bulk.

a b c (Å): 5.2193 5.2193 5.2193
angles (deg): 60.00 60.00 60.00
Positions (direct):
La (0.0000, 0.0000, 0.0000)
Tm (0.5000, 0.5000, 0.5000)
Si (0.7500, 0.7500, 0.7500)
Hg (0.2500, 0.2500, 0.2500)

Space group: F-43m, No. 216
Formation energy (no corrections), meV per atom: -455

The following is a GGA-PBE calculation of an optimized crystal structure of La2YSiHg, from Alexandria via LeMat-Bulk.

a b c (Å): 5.8527 5.8527 5.2354
angles (deg): 90.00 90.00 90.00
Positions (direct):
La (0.0000, 0.5000, 0.0000)
La (0.5000, 0.0000, 0.0000)
Y (0.0000, 0.0000, 0.0000)
Si (0.0000, 0.0000, 0.5000)
Hg (0.5000, 0.5000, 0.5000)

Space group: P4/mmm, No. 123
Formation energy (no corrections), meV per atom: 531

The following is a GGA-PBE calculation of an optimized crystal structure of LaYSiHg, from Alexandria via LeMat-Bulk.

a b c (Å): 5.2554 5.2554 5.2554
angles (deg): 60.00 60.00 60.00
Positions (direct):
La (0.0000, 0.0000, 0.0000)
Y (0.5000, 0.5000, 0.5000)
Si (0.7500, 0.7500, 0.7500)
Hg (0.2500, 0.2500, 0.2500)

Space group: F-43m, No. 216
Formation energy (no corrections), meV per atom: -488

The following is a GGA-PBE calculation of an optimized crystal structure of La2Zn4Si3Hg, from Alexandria via LeMat-Bulk.

a b c (Å): 4.3483 4.3483 10.4621
angles (deg): 90.00 90.00 90.00
Positions (direct):
La (0.0000, 0.5000, 0.2431)
La (0.5000, 0.0000, 0.7569)
Zn (0.0000, 0.0000, 0.0000)
Zn (0.0000, 0.5000, 0.6406)
Zn (0.5000, 0.0000, 0.3594)
Zn (0.5000, 0.5000, 0.0000)
Si (0.0000, 0.5000, 0.8706)
Si (0.5000, 0.0000, 0.1294)
Si (0.5000, 0.5000, 0.5000)
Hg (0.0000, 0.0000, 0.5000)

Space group: P-4m2, No. 115
Formation energy (no corrections), meV per atom: -393

The following is a GGA-PBE calculation of an optimized crystal structure of La2ZrSiHg, from Alexandria via LeMat-Bulk.

a b c (Å): 5.6850 5.6850 5.0296
angles (deg): 90.00 90.00 90.00
Positions (direct):
La (0.0000, 0.5000, 0.0000)
La (0.5000, 0.0000, 0.0000)
Zr (0.0000, 0.0000, 0.5000)
Si (0.0000, 0.0000, 0.0000)
Hg (0.5000, 0.5000, 0.5000)

Space group: P4/mmm, No. 123
Formation energy (no corrections), meV per atom: -41

The following is a GGA-PBE calculation of an optimized crystal structure of LaSm2Hg2, from Alexandria via LeMat-Bulk.

a b c (Å): 5.3590 5.3590 6.4404
angles (deg): 90.00 90.00 120.00
Positions (direct):
La (0.0000, 0.0000, 0.0000)
Sm (0.3333, 0.6667, 0.6553)
Sm (0.6667, 0.3333, 0.3447)
Hg (0.3333, 0.6667, 0.1695)
Hg (0.6667, 0.3333, 0.8305)

ΔH_f (0 K), eV/atom: -0.244
Space group: P-3m1, No. 164

The following is a GGA-PBE calculation of an optimized crystal structure of LaSm2Hg3, from Alexandria via LeMat-Bulk.

a b c (Å): 3.8223 3.8223 11.5664
angles (deg): 90.00 90.00 90.00
Positions (direct):
La (0.0000, 0.0000, 0.0000)
Sm (0.0000, 0.0000, 0.3372)
Sm (0.0000, 0.0000, 0.6628)
Hg (0.5000, 0.5000, 0.1783)
Hg (0.5000, 0.5000, 0.5000)
Hg (0.5000, 0.5000, 0.8217)

ΔH_f (0 K), eV/atom: -0.481
Space group: P4/mmm, No. 123

The following is a GGA-PBE calculation of an optimized crystal structure of La2Sm2Hg3, from Alexandria via LeMat-Bulk.

a b c (Å): 5.3432 5.3432 9.2575
angles (deg): 106.71 106.71 60.01
Positions (direct):
La (0.1283, 0.1283, 0.3861)
La (0.8717, 0.8717, 0.6139)
Sm (0.3778, 0.3778, 0.1344)
Sm (0.6222, 0.6222, 0.8656)
Hg (0.0000, 0.0000, 0.0000)
Hg (0.2539, 0.2539, 0.7623)
Hg (0.7461, 0.7461, 0.2377)

ΔH_f (0 K), eV/atom: -0.336
Space group: C2/m, No. 12

The following is a GGA-PBE calculation of an optimized crystal structure of La2SmHg4, from Alexandria via LeMat-Bulk.

a b c (Å): 9.6281 9.6281 9.6281
angles (deg): 31.76 31.76 31.76
Positions (direct):
La (0.2439, 0.2439, 0.2439)
La (0.7561, 0.7561, 0.7561)
Sm (0.0000, 0.0000, 0.0000)
Hg (0.1264, 0.1264, 0.1264)
Hg (0.3708, 0.3708, 0.3708)
Hg (0.6292, 0.6292, 0.6292)
Hg (0.8736, 0.8736, 0.8736)

ΔH_f (0 K), eV/atom: -0.365
Space group: R-3m, No. 166

The following is a GGA-PBE calculation of an optimized crystal structure of LaSm7Hg4, from Alexandria via LeMat-Bulk.

a b c (Å): 6.5545 6.6450 8.4840
angles (deg): 80.28 77.48 88.03
Positions (direct):
La (0.0000, 0.0000, 0.0000)
Sm (0.1209, 0.3271, 0.6307)
Sm (0.2382, 0.4711, 0.0416)
Sm (0.3393, 0.8135, 0.6471)
Sm (0.5000, 0.0000, 0.0000)
Sm (0.6607, 0.1865, 0.3529)
Sm (0.7618, 0.5289, 0.9584)
Sm (0.8791, 0.6729, 0.3693)
Hg (0.1707, 0.0820, 0.3355)
Hg (0.4174, 0.6370, 0.3116)
Hg (0.5826, 0.3630, 0.6884)
Hg (0.8293, 0.9180, 0.6645)

ΔH_f (0 K), eV/atom: -0.240
Space group: P-1, No. 2

The following is a GGA-PBE calculation of an optimized crystal structure of La2SmHg, from Alexandria via LeMat-Bulk.

a b c (Å): 9.6897 9.6876 5.3736
angles (deg): 73.92 73.88 32.20
Positions (direct):
La (0.0000, 0.0000, 0.5000)
La (0.1378, 0.1378, 0.8622)
La (0.5000, 0.5000, 0.0000)
La (0.8622, 0.8622, 0.1378)
Sm (0.3560, 0.3560, 0.6440)
Sm (0.6440, 0.6440, 0.3560)
Hg (0.2500, 0.2500, 0.2500)
Hg (0.7500, 0.7500, 0.7500)

ΔH_f (0 K), eV/atom: -0.243
Space group: Fmmm, No. 69

The following is a GGA-PBE calculation of an optimized crystal structure of La3Sm2Hg3, from Alexandria via LeMat-Bulk.

a b c (Å): 11.9293 11.9293 11.9293
angles (deg): 161.39 152.87 33.10
Positions (direct):
La (0.0000, 0.0000, 0.0000)
La (0.3785, 0.8785, 0.5000)
La (0.6215, 0.1215, 0.5000)
Sm (0.2339, 0.2339, 0.0000)
Sm (0.7661, 0.7661, 0.0000)
Hg (0.1230, 0.6230, 0.5000)
Hg (0.5000, 0.5000, 0.0000)
Hg (0.8770, 0.3770, 0.5000)

ΔH_f (0 K), eV/atom: -0.371
Space group: Immm, No. 71

The following is a GGA-PBE calculation of an optimized crystal structure of La2SmHg, from Alexandria via LeMat-Bulk.

a b c (Å): 3.8054 3.8054 9.0706
angles (deg): 90.00 90.00 90.00
Positions (direct):
La (0.0000, 0.0000, 0.2238)
La (0.0000, 0.0000, 0.7762)
Sm (0.5000, 0.5000, 0.5000)
Hg (0.5000, 0.5000, 0.0000)

ΔH_f (0 K), eV/atom: -0.230
Space group: P4/mmm, No. 123

The following is a GGA-PBE calculation of an optimized crystal structure of La9Sm4Hg11, from Alexandria via LeMat-Bulk.

a b c (Å): 14.3371 14.3371 3.6908
angles (deg): 90.00 90.00 112.05
Positions (direct):
La (0.0000, 0.0000, 0.0000)
La (0.1294, 0.6462, 0.0000)
La (0.2914, 0.4570, 0.0000)
La (0.3538, 0.8706, 0.0000)
La (0.4570, 0.2914, 0.0000)
La (0.5430, 0.7086, 0.0000)
La (0.6462, 0.1294, 0.0000)
La (0.7086, 0.5430, 0.0000)
La (0.8706, 0.3538, 0.0000)
Sm (0.0561, 0.2459, 0.0000)
Sm (0.2459, 0.0561, 0.0000)
Sm (0.7541, 0.9439, 0.0000)
Sm (0.9439, 0.7541, 0.0000)
Hg (0.0850, 0.4417, 0.5000)
Hg (0.1368, 0.8632, 0.5000)
Hg (0.2309, 0.2309, 0.5000)
Hg (0.3343, 0.6657, 0.5000)
Hg (0.4417, 0.0850, 0.5000)
Hg (0.5000, 0.5000, 0.5000)
Hg (0.5583, 0.9150, 0.5000)
Hg (0.6657, 0.3343, 0.5000)
Hg (0.7691, 0.7691, 0.5000)
Hg (0.8632, 0.1368, 0.5000)
Hg (0.9150, 0.5583, 0.5000)

ΔH_f (0 K), eV/atom: -0.413
Space group: Cmmm, No. 65

The following is a GGA-PBE calculation of an optimized crystal structure of La6SmHg, from Alexandria via LeMat-Bulk.

a b c (Å): 6.7210 6.7220 9.0413
angles (deg): 111.70 90.17 119.91
Positions (direct):
La (0.0416, 0.4793, 0.2753)
La (0.2016, 0.1601, 0.7235)
La (0.4397, 0.2365, 0.2759)
La (0.5603, 0.7635, 0.7241)
La (0.7984, 0.8399, 0.2765)
La (0.9584, 0.5207, 0.7247)
Sm (0.5000, 0.0000, 0.5000)
Hg (0.0000, 0.0000, 0.0000)

ΔH_f (0 K), eV/atom: 0.275
Space group: P-1, No. 2

The following is a GGA-PBE calculation of an optimized crystal structure of La3SmHg2, from Alexandria via LeMat-Bulk.

a b c (Å): 5.4100 9.8407 7.1016
angles (deg): 90.00 90.00 90.00
Positions (direct):
La (0.0000, 0.0576, 0.0000)
La (0.0000, 0.3276, 0.3201)
La (0.0000, 0.6724, 0.8201)
La (0.0000, 0.9424, 0.5000)
La (0.5000, 0.1746, 0.6954)
La (0.5000, 0.8254, 0.1954)
Sm (0.5000, 0.4475, 0.0198)
Sm (0.5000, 0.5525, 0.5198)
Hg (0.0000, 0.3534, 0.7808)
Hg (0.0000, 0.6466, 0.2808)
Hg (0.5000, 0.1528, 0.2385)
Hg (0.5000, 0.8472, 0.7385)

ΔH_f (0 K), eV/atom: -0.341
Space group: Pmc2_1, No. 26

The following is a GGA-PBE calculation of an optimized crystal structure of La2SmHg, from Alexandria via LeMat-Bulk.

a b c (Å): 5.6331 5.6331 5.6331
angles (deg): 60.00 60.00 60.00
Positions (direct):
La (0.2500, 0.2500, 0.2500)
La (0.7500, 0.7500, 0.7500)
Sm (0.0000, 0.0000, 0.0000)
Hg (0.5000, 0.5000, 0.5000)

ΔH_f (0 K), eV/atom: -0.095
Space group: Fm-3m, No. 225

The following is a GGA-PBE calculation of an optimized crystal structure of LaSm2Hg4, from Alexandria via LeMat-Bulk.

a b c (Å): 6.6130 6.6130 5.2425
angles (deg): 90.00 90.00 112.05
Positions (direct):
La (0.0000, 0.0000, 0.0000)
Sm (0.2621, 0.7379, 0.5000)
Sm (0.7379, 0.2621, 0.5000)
Hg (0.0000, 0.5000, 0.0000)
Hg (0.2685, 0.2685, 0.5000)
Hg (0.5000, 0.0000, 0.0000)
Hg (0.7315, 0.7315, 0.5000)

ΔH_f (0 K), eV/atom: -0.381
Space group: Cmmm, No. 65

The following is a GGA-PBE calculation of an optimized crystal structure of La12Sm3Hg, from Alexandria via LeMat-Bulk.

a b c (Å): 5.1677 5.1677 20.8763
angles (deg): 90.00 90.00 90.00
Positions (direct):
La (0.0000, 0.0000, 0.0000)
La (0.0000, 0.0000, 0.2465)
La (0.0000, 0.0000, 0.5000)
La (0.0000, 0.0000, 0.7535)
La (0.0000, 0.5000, 0.1205)
La (0.0000, 0.5000, 0.3729)
La (0.0000, 0.5000, 0.6271)
La (0.0000, 0.5000, 0.8795)
La (0.5000, 0.0000, 0.1205)
La (0.5000, 0.0000, 0.3729)
La (0.5000, 0.0000, 0.6271)
La (0.5000, 0.0000, 0.8795)
Sm (0.5000, 0.5000, 0.2459)
Sm (0.5000, 0.5000, 0.5000)
Sm (0.5000, 0.5000, 0.7541)
Hg (0.5000, 0.5000, 0.0000)

ΔH_f (0 K), eV/atom: -0.036
Space group: P4/mmm, No. 123

The following is a GGA-PBE calculation of an optimized crystal structure of La3SmHg2, from Alexandria via LeMat-Bulk.

a b c (Å): 3.8395 3.8395 12.9871
angles (deg): 90.00 90.00 90.00
Positions (direct):
La (0.0000, 0.0000, 0.0000)
La (0.0000, 0.0000, 0.3079)
La (0.0000, 0.0000, 0.6921)
Sm (0.5000, 0.5000, 0.5000)
Hg (0.5000, 0.5000, 0.1579)
Hg (0.5000, 0.5000, 0.8421)

ΔH_f (0 K), eV/atom: -0.315
Space group: P4/mmm, No. 123

Record-wise volume values, in Å³/atom: 28.78, 26.32, 25.13, 25.71, 32.35, 25.13, 35.87, 25.66, 19.78, 32.51, 32.04, 28.16, 30.85, 31.38, 29.63, 32.17, 30.86, 32.84, 29.30, 39.99, 31.51, 31.60, 30.36, 34.84, 31.91
Record-wise uncorrected energy values, in eV/atom: -3.46, -4.32, -6.27, -4.30, -3.77, -4.24, -3.88, -4.77, -3.54, -4.87, -3.24, -3.03, -3.22, -2.62, -3.50, -3.96, -3.51, -3.95, -3.19, -4.05, -3.69, -3.81, -2.61, -4.64, -3.67